Entry 1:
The following is a DFT calculation (PBE) of a relaxed structure of Ba2InSbO.

Computed properties:
formation energy (no corrections) = -1.39 eV per atom
total DFT energy (no corrections) = -45.2 eV/cell
ΔE to the lowest computed polymorph = 0.000 eV per atom

a b c (Å): 4.6339 7.1961 10.9506
angles (deg): 113.30 90.00 90.00
Last column: nearest neighbours and their distance in Å.
Atoms (fractional coordinates):
Ba1 0.7500 0.7913 0.5849  2 O 2.65
Ba2 0.7500 0.7824 0.1076  1 O 2.51
Ba3 0.2500 0.2087 0.4151  2 O 2.65
Ba4 0.2500 0.2176 0.8924  1 O 2.51
In1 0.2500 0.6811 0.8304  1 O 2.19
In2 0.7500 0.3189 0.1696  1 O 2.19
Sb1 0.2500 0.6131 0.2933  2 In 3.07
Sb2 0.7500 0.3869 0.7067  2 In 3.07
O1 0.2500 0.8678 0.7132  1 In 2.19
O2 0.7500 0.1322 0.2868  1 In 2.19

***

Entry 2:
The following is a DFT calculation (PBE) of a relaxed structure of Ba2InSbO.

Computed properties:
formation energy (no corrections) = -1.26 eV per atom
total DFT energy (no corrections) = -22.0 eV/cell
ΔE to the lowest computed polymorph = 0.123 eV per atom

a b c (Å): 5.4911 5.4911 5.0754
angles (deg): 90.00 90.00 90.00
Last column: nearest neighbours and their distance in Å.
Atoms (fractional coordinates):
Sb1 0.5000 0.5000 0.5000  8 Ba 3.74, 4 In 3.88
Ba1 0.0000 0.5000 0.0000  2 O 2.75
Ba2 0.5000 0.0000 0.0000  2 O 2.75
O1 0.0000 0.0000 0.0000  2 In 2.54, 4 Ba 2.75
In1 0.0000 0.0000 0.5000  2 O 2.54

***

Entry 3:
The following is a DFT calculation (PBE) of a relaxed structure of BaIn2SbO.

Computed properties:
formation energy (no corrections) = 0.10 eV per atom
total DFT energy (no corrections) = -16.0 eV/cell

a b c (Å): 6.6252 4.4751 6.6252
angles (deg): 90.00 90.00 90.00
Last column: nearest neighbours and their distance in Å.
Atoms (fractional coordinates):
Sb1 0.5000 0.5000 0.5000  8 In 4.00, 2 Sb 4.48
Ba1 0.0000 0.0000 0.0000  2 O 2.24
O1 0.0000 0.5000 0.0000  2 Ba 2.24
In1 0.0000 0.0000 0.5000  2 Ba 3.31
In2 0.5000 0.0000 0.0000  2 Ba 3.31

***

Entry 4:
The following is a DFT calculation (PBE) of a relaxed structure of BaSc4In3O12.

Computed properties:
formation energy (no corrections) = -2.52 eV per atom
total DFT energy (no corrections) = -145.4 eV/cell

a b c (Å): 6.9596 6.9596 6.9596
angles (deg): 109.47 109.47 109.47
Last column: nearest neighbours and their distance in Å.
Atoms (fractional coordinates):
Ba1 0.0000 0.0000 0.0000  12 O 2.89
Sc1 0.5000 0.0000 0.0000  6 O 2.13
Sc2 0.5000 0.5000 0.5000  6 O 2.13
Sc3 0.0000 0.5000 0.0000  6 O 2.13
Sc4 0.0000 0.0000 0.5000  6 O 2.13
In1 0.0000 0.5000 0.5000  4 O 2.13
In2 0.5000 0.5000 0.0000  4 O 2.13
In3 0.5000 0.0000 0.5000  4 O 2.13
O1 0.3087 0.8157 0.1244  2 Sc 2.13, 1 In 2.13
O2 0.6913 0.1843 0.8756  2 Sc 2.13, 1 In 2.13
O3 0.6913 0.8157 0.5071  2 Sc 2.13, 1 In 2.13
O4 0.8756 0.6913 0.1843  2 Sc 2.13, 1 In 2.13
O5 0.8157 0.1244 0.3087  2 Sc 2.13, 1 In 2.13
O6 0.1843 0.4929 0.3087  2 Sc 2.13, 1 In 2.13
O7 0.4929 0.3087 0.1843  2 Sc 2.13, 1 In 2.13
O8 0.1843 0.8756 0.6913  2 Sc 2.13, 1 In 2.13
O9 0.3087 0.1843 0.4929  2 Sc 2.13, 1 In 2.13
O10 0.1244 0.3087 0.8157  2 Sc 2.13, 1 In 2.13
O11 0.8157 0.5071 0.6913  2 Sc 2.13, 1 In 2.13
O12 0.5071 0.6913 0.8157  2 Sc 2.13, 1 In 2.13

***

Entry 5:
The following is a DFT calculation (PBE) of a relaxed structure of BaSr2ScInO6.

Computed properties:
formation energy (no corrections) = -2.61 eV per atom
total DFT energy (no corrections) = -72.8 eV/cell

a b c (Å): 10.8289 10.8289 10.8289
angles (deg): 157.87 157.87 31.50
Last column: nearest neighbours and their distance in Å.
Atoms (fractional coordinates):
Sc1 0.9007 0.9007 0.0000  5 O 2.00-2.12
Sr1 0.4986 0.4986 0.0000  8 O 2.65-2.67
Sr2 0.6825 0.6825 0.0000  1 O 2.55
Ba1 0.3193 0.3193 0.0000  1 O 2.52
O1 0.9198 0.4198 0.5000  2 Sc 2.12
O2 0.4198 0.9198 0.5000  2 Sc 2.12
O3 0.0791 0.5791 0.5000  2 In 2.12
O4 0.5791 0.0791 0.5000  2 In 2.12
O5 0.8047 0.8047 0.0000  1 Sc 2.00
O6 0.1983 0.1983 0.0000  1 In 2.09
In1 0.0981 0.0981 0.0000  5 O 2.09-2.12

***

Entry 6:
The following is a DFT calculation (PBE) of a relaxed structure of Ba3In2Se2O4.

Computed properties:
formation energy (no corrections) = -1.84 eV per atom
total DFT energy (no corrections) = -58.3 eV/cell

a b c (Å): 4.4119 4.4119 12.7343
angles (deg): 99.98 99.98 90.00
Last column: nearest neighbours and their distance in Å.
Atoms (fractional coordinates):
Ba1 0.0000 0.0000 0.0000  8 O 2.85
Ba2 0.1598 0.1598 0.3196  4 O 3.07, 4 Se 3.24
Ba3 0.8402 0.8402 0.6804  4 O 3.07, 4 Se 3.24
In1 0.4109 0.4109 0.8218  4 O 2.24
In2 0.5891 0.5891 0.1782  4 O 2.24
Se1 0.3042 0.3042 0.6085  1 In 2.63
Se2 0.6958 0.6958 0.3915  1 In 2.63
O1 0.4267 0.9267 0.8533  2 In 2.24
O2 0.9267 0.4267 0.8533  2 In 2.24
O3 0.0733 0.5733 0.1467  2 In 2.24
O4 0.5733 0.0733 0.1467  2 In 2.24

***

Entry 7:
The following is a DFT calculation (PBE) of a relaxed structure of BaSm2InO5.

Computed properties:
formation energy (no corrections) = -2.54 eV per atom
total DFT energy (no corrections) = -61.7 eV/cell

a b c (Å): 4.0756 6.0291 6.9424
angles (deg): 115.74 107.07 90.00
Last column: nearest neighbours and their distance in Å.
Atoms (fractional coordinates):
Ba1 0.0000 0.5000 0.0000  10 O 3.01-3.11
Sm1 0.2160 0.2160 0.4320  2 O 2.28
Sm2 0.7840 0.7840 0.5680  2 O 2.28
In1 0.5000 0.0000 0.0000  6 O 2.04-2.24
O1 0.6461 0.9097 0.2921  1 In 2.24, 1 Sm 2.28
O2 0.3539 0.0903 0.7079  1 In 2.24, 1 Sm 2.28
O3 0.3539 0.6176 0.7079  1 In 2.24, 1 Sm 2.28
O4 0.6461 0.3824 0.2921  1 In 2.24, 1 Sm 2.28
O5 0.0000 0.0000 0.0000  2 In 2.04

***

Entry 8:
The following is a DFT calculation (PBE) of a relaxed structure of BaSm4In3O12.

Computed properties:
formation energy (no corrections) = -2.41 eV per atom
total DFT energy (no corrections) = -136.8 eV/cell

a b c (Å): 7.4521 7.4521 7.4521
angles (deg): 109.47 109.47 109.47
Last column: nearest neighbours and their distance in Å.
Atoms (fractional coordinates):
Ba1 0.0000 0.0000 0.0000  12 O 3.07
Sm1 0.5000 0.0000 0.0000  6 O 2.34
Sm2 0.5000 0.5000 0.5000  6 O 2.34
Sm3 0.0000 0.5000 0.0000  6 O 2.34
Sm4 0.0000 0.0000 0.5000  6 O 2.34
In1 0.0000 0.5000 0.5000  4 O 2.12
In2 0.5000 0.5000 0.0000  4 O 2.12
In3 0.5000 0.0000 0.5000  4 O 2.12
O1 0.3164 0.8349 0.1514  1 In 2.12, 2 Sm 2.34
O2 0.6836 0.1651 0.8486  1 In 2.12, 2 Sm 2.34
O3 0.6836 0.8349 0.5185  1 In 2.12, 2 Sm 2.34
O4 0.8486 0.6836 0.1651  1 In 2.12, 2 Sm 2.34
O5 0.8349 0.1514 0.3164  1 In 2.12, 2 Sm 2.34
O6 0.1651 0.4815 0.3164  1 In 2.12, 2 Sm 2.34
O7 0.4815 0.3164 0.1651  1 In 2.12, 2 Sm 2.34
O8 0.1651 0.8486 0.6836  1 In 2.12, 2 Sm 2.34
O9 0.3164 0.1651 0.4815  1 In 2.12, 2 Sm 2.34
O10 0.1514 0.3164 0.8349  1 In 2.12, 2 Sm 2.34
O11 0.8349 0.5185 0.6836  1 In 2.12, 2 Sm 2.34
O12 0.5185 0.6836 0.8349  1 In 2.12, 2 Sm 2.34